Below is an optimized crystal structure of LaDyGePt, with properties calculated at the PBE level.

abc: 4.681 4.681 10.299
angles: 90.00 90.00 90.00
Fractional positions:
La1 0.250 0.250 0.167
La2 0.750 0.750 0.833
Dy1 0.250 0.750 0.500
Dy2 0.750 0.250 0.500
Ge1 0.250 0.250 0.885
Ge2 0.750 0.750 0.115
Pt1 0.250 0.250 0.653
Pt2 0.750 0.750 0.347

Summary:
The value obtained for the magnetic moment is 0.00 μB per formula unit. The value obtained for the energy above the most stable polymorph in this dataset is 8.4 kJ/mol of atoms. As for the formation energy: -0.7950 eV/atom. The space group is P4/nmm, No. 129.